Record 1
Computed, not measured: InSbSe after structural relaxation at the PBE-GGA level of DFT.

Summary:
ΔE_f (raw), meV per atom: 204

a b c (Å): 4.9846 4.9846 4.9846
angles (deg): 60.00 60.00 60.00
With the nearest neighbours (Å) after each atom.
Fractional coordinates of all 3 atoms:
In  0.0000  0.0000  0.0000  4 Se 3.05, 4 Sb 3.05
Sb  0.2500  0.2500  0.2500  4 In 3.05
Se  0.7500  0.7500  0.7500  4 In 3.05

Record 2
Computed, not measured: NaHfHSe2 after structural relaxation at the PBE-GGA level of DFT.

Summary:
Electronic total energy, eV per atom: -5.20

a b c (Å): 5.2034 5.2034 3.9809
angles (deg): 90.00 90.00 90.00
With the nearest neighbours (Å) after each atom.
Fractional coordinates of all 5 atoms:
Na  0.0000  0.0000  0.0000  8 Se 3.28
Hf  0.5000  0.5000  0.5000  2 H 1.99
H  0.5000  0.5000  0.0000  2 Hf 1.99
Se  0.0000  0.5000  0.5000  2 Hf 2.60
Se  0.5000  0.0000  0.5000  2 Hf 2.60

In order of appearance, volume = 29.2, 21.6 A^3/atom.